Here is MgPtW after structural relaxation from Alexandria. Energies are from GGA-PBE.

Structure (POSCAR):
```
MgPtW
1.0
4.886 0.000 0.000
-2.443 4.231 0.000
0.000 0.000 9.624
Mg Pt W
2 2 2
direct
0.333 0.667 0.250
0.667 0.333 0.750
0.000 0.000 0.000
0.000 0.000 0.500
0.000 0.000 0.250
0.000 0.000 0.750
```

Results
Offset from the most stable computed form, meV/atom: 2293
Crystal system: hexagonal
ΔH_f (0 K), eV/atom: 2.01
Total magnetization, μB/atom: 0.93

Here is MgPtW after structural relaxation from Alexandria. Energies are from GGA-PBE.

Structure (POSCAR):
```
MgPtW
1.0
0.000 3.053 3.053
3.053 0.000 3.053
3.053 3.053 0.000
Mg Pt W
1 1 1
direct
0.000 0.000 0.000
0.500 0.500 0.500
0.750 0.750 0.750
```

Results
Offset from the most stable computed form, meV/atom: 843
Crystal system: cubic
ΔH_f (0 K), eV/atom: 0.56
Total magnetization, μB/atom: 0.00